# meta-GGA SCAN SiS3O, PBEsol geometry
data_SiS3O
_symmetry_space_group_name_H-M 'P m -3 m'
_symmetry_Int_Tables_number 221
_symmetry_space_group_name_Hall '-P 4 2 3'
_cell_length_a 4.4143
_cell_length_b 4.4143
_cell_length_c 4.4143
_cell_angle_alpha 90.00
_cell_angle_beta 90.00
_cell_angle_gamma 90.00
loop_
_atom_site_label
_atom_site_type_symbol
_atom_site_fract_x
_atom_site_fract_y
_atom_site_fract_z
Si1 Si 0.0000 0.0000 0.0000
S1 S 0.0000 0.0000 0.5000
O1 O 0.5000 0.5000 0.5000
# ΔE_f (raw): 0.866 eV/atom
# Crystal system: cubic
# Size of the total moment: 2.98 μB/f.u.
# N(E_F): 0.868 states/eV per atom

***

# meta-GGA SCAN Sm4Si2S3O7, PBEsol geometry
data_Sm4Si2S3O7
_symmetry_space_group_name_H-M 'I 41/a m d'
_symmetry_Int_Tables_number 141
_cell_length_a 11.7739
_cell_length_b 11.7739
_cell_length_c 13.8473
_cell_angle_alpha 90.00
_cell_angle_beta 90.00
_cell_angle_gamma 90.00
loop_
_symmetry_equiv_pos_as_xyz
'x,y,z'
'-x,-y,-z'
'-y+1/4,x+3/4,z+1/4'
'y+1/4,-x+3/4,-z+1/4'
'-x+1/2,-y,z+1/2'
'x+1/2,y,-z+1/2'
'y+1/4,-x+1/4,z+3/4'
'-y+1/4,x+1/4,-z+3/4'
'x,-y,-z'
'-x,y,z'
'-y+1/4,-x+1/4,-z+3/4'
'y+1/4,x+1/4,z+3/4'
'-x+1/2,y,-z+1/2'
'x+1/2,-y,z+1/2'
'y+1/4,x+3/4,-z+1/4'
'-y+1/4,-x+3/4,z+1/4'
'x+1/2,y+1/2,z+1/2'
'-x+1/2,-y+1/2,-z+1/2'
'-y+3/4,x+1/4,z+3/4'
'y+3/4,-x+1/4,-z+3/4'
'-x,-y+1/2,z'
'x,y+1/2,-z'
'y+3/4,-x+3/4,z+1/4'
'-y+3/4,x+3/4,-z+1/4'
'x+1/2,-y+1/2,-z+1/2'
'-x+1/2,y+1/2,z+1/2'
'-y+3/4,-x+3/4,-z+1/4'
'y+3/4,x+3/4,z+1/4'
'-x,y+1/2,-z'
'x,-y+1/2,z'
'y+3/4,x+1/4,-z+3/4'
'-y+3/4,-x+1/4,z+3/4'
loop_
_atom_site_label
_atom_site_type_symbol
_atom_site_fract_x
_atom_site_fract_y
_atom_site_fract_z
Sm1 Sm 0.0000 0.0138 0.3422
Sm2 Sm 0.1724 0.0776 0.8750
Si1 Si 0.0000 0.1252 0.0967
S1 S 0.0000 0.2500 0.3750
S2 S 0.0000 0.2500 0.8750
S3 S 0.1474 0.0000 0.5000
O1 O 0.0000 0.0191 0.1743
O2 O 0.0000 0.2500 0.1490
O3 O 0.1222 0.1089 0.0424
# ΔE_f (raw): -3.188 eV/atom
# Crystal system: tetragonal
# Size of the total moment: 0.04 μB/f.u.
# N(E_F): 0.000 states/eV per atom

***

# meta-GGA SCAN Sr2SiS8O28, PBEsol geometry
data_Sr2SiS8O28
_symmetry_space_group_name_H-M 'P 1 21/c 1'
_symmetry_Int_Tables_number 14
_symmetry_space_group_name_Hall '-P 2ybc'
_cell_length_a 7.0207
_cell_length_b 13.0125
_cell_length_c 13.3372
_cell_angle_alpha 90.00
_cell_angle_beta 114.12
_cell_angle_gamma 90.00
loop_
_atom_site_label
_atom_site_type_symbol
_atom_site_fract_x
_atom_site_fract_y
_atom_site_fract_z
Sr1 Sr 0.1437 0.1356 0.3409
Si1 Si 0.5000 0.0000 0.0000
S1 S 0.2269 0.1481 0.0601
S2 S 0.2385 0.0828 0.7742
S3 S 0.3163 0.5296 0.1056
S4 S 0.3704 0.7161 0.4119
O1 O 0.0448 0.0307 0.7515
O2 O 0.1222 0.2289 0.9848
O3 O 0.1421 0.1145 0.1349
O4 O 0.1812 0.7310 0.3167
O5 O 0.1879 0.6045 0.1285
O6 O 0.2385 0.0086 0.4948
O7 O 0.2515 0.1894 0.8034
O8 O 0.2698 0.0588 0.9989
O9 O 0.2915 0.0816 0.6708
O10 O 0.3618 0.6188 0.4722
O11 O 0.4214 0.0228 0.8577
O12 O 0.4554 0.7006 0.9867
O13 O 0.4609 0.1870 0.1405
O14 O 0.4624 0.0482 0.3415
# ΔE_f (raw): -1.830 eV/atom
# Crystal system: monoclinic
# Size of the total moment: 0.00 μB/f.u.
# N(E_F): 0.000 states/eV per atom

***

# meta-GGA SCAN Tb4Si2S3O7, PBEsol geometry
data_Tb4Si2S3O7
_symmetry_space_group_name_H-M 'I 41/a m d'
_symmetry_Int_Tables_number 141
_cell_length_a 11.6241
_cell_length_b 11.6241
_cell_length_c 13.5856
_cell_angle_alpha 90.00
_cell_angle_beta 90.00
_cell_angle_gamma 90.00
loop_
_symmetry_equiv_pos_as_xyz
'x,y,z'
'-x,-y,-z'
'-y+1/4,x+3/4,z+1/4'
'y+1/4,-x+3/4,-z+1/4'
'-x+1/2,-y,z+1/2'
'x+1/2,y,-z+1/2'
'y+1/4,-x+1/4,z+3/4'
'-y+1/4,x+1/4,-z+3/4'
'x,-y,-z'
'-x,y,z'
'-y+1/4,-x+1/4,-z+3/4'
'y+1/4,x+1/4,z+3/4'
'-x+1/2,y,-z+1/2'
'x+1/2,-y,z+1/2'
'y+1/4,x+3/4,-z+1/4'
'-y+1/4,-x+3/4,z+1/4'
'x+1/2,y+1/2,z+1/2'
'-x+1/2,-y+1/2,-z+1/2'
'-y+3/4,x+1/4,z+3/4'
'y+3/4,-x+1/4,-z+3/4'
'-x,-y+1/2,z'
'x,y+1/2,-z'
'y+3/4,-x+3/4,z+1/4'
'-y+3/4,x+3/4,-z+1/4'
'x+1/2,-y+1/2,-z+1/2'
'-x+1/2,y+1/2,z+1/2'
'-y+3/4,-x+3/4,-z+1/4'
'y+3/4,x+3/4,z+1/4'
'-x,y+1/2,-z'
'x,-y+1/2,z'
'y+3/4,x+1/4,-z+3/4'
'-y+3/4,-x+1/4,z+3/4'
loop_
_atom_site_label
_atom_site_type_symbol
_atom_site_fract_x
_atom_site_fract_y
_atom_site_fract_z
Tb1 Tb 0.0000 0.0143 0.3413
Tb2 Tb 0.1728 0.0772 0.8750
Si1 Si 0.0000 0.1249 0.0958
S1 S 0.0000 0.2500 0.3750
S2 S 0.0000 0.2500 0.8750
S3 S 0.1462 0.0000 0.5000
O1 O 0.0000 0.0165 0.1739
O2 O 0.0000 0.2500 0.1504
O3 O 0.1243 0.1086 0.0415
# ΔE_f (raw): -3.188 eV/atom
# Crystal system: tetragonal
# Size of the total moment: 0.00 μB/f.u.
# N(E_F): 0.000 states/eV per atom

***

# meta-GGA SCAN Tm4Si2S3O7, PBEsol geometry
data_Tm4Si2S3O7
_symmetry_space_group_name_H-M 'I 41/a m d'
_symmetry_Int_Tables_number 141
_cell_length_a 11.4811
_cell_length_b 11.4811
_cell_length_c 13.3183
_cell_angle_alpha 90.00
_cell_angle_beta 90.00
_cell_angle_gamma 90.00
loop_
_symmetry_equiv_pos_as_xyz
'x,y,z'
'-x,-y,-z'
'-y+1/4,x+3/4,z+1/4'
'y+1/4,-x+3/4,-z+1/4'
'-x+1/2,-y,z+1/2'
'x+1/2,y,-z+1/2'
'y+1/4,-x+1/4,z+3/4'
'-y+1/4,x+1/4,-z+3/4'
'x,-y,-z'
'-x,y,z'
'-y+1/4,-x+1/4,-z+3/4'
'y+1/4,x+1/4,z+3/4'
'-x+1/2,y,-z+1/2'
'x+1/2,-y,z+1/2'
'y+1/4,x+3/4,-z+1/4'
'-y+1/4,-x+3/4,z+1/4'
'x+1/2,y+1/2,z+1/2'
'-x+1/2,-y+1/2,-z+1/2'
'-y+3/4,x+1/4,z+3/4'
'y+3/4,-x+1/4,-z+3/4'
'-x,-y+1/2,z'
'x,y+1/2,-z'
'y+3/4,-x+3/4,z+1/4'
'-y+3/4,x+3/4,-z+1/4'
'x+1/2,-y+1/2,-z+1/2'
'-x+1/2,y+1/2,z+1/2'
'-y+3/4,-x+3/4,-z+1/4'
'y+3/4,x+3/4,z+1/4'
'-x,y+1/2,-z'
'x,-y+1/2,z'
'y+3/4,x+1/4,-z+3/4'
'-y+3/4,-x+1/4,z+3/4'
loop_
_atom_site_label
_atom_site_type_symbol
_atom_site_fract_x
_atom_site_fract_y
_atom_site_fract_z
Tm1 Tm 0.0000 0.0147 0.3401
Tm2 Tm 0.1733 0.0767 0.8750
Si1 Si 0.0000 0.1247 0.0945
S1 S 0.0000 0.2500 0.3750
S2 S 0.0000 0.2500 0.8750
S3 S 0.1448 0.0000 0.5000
O1 O 0.0000 0.0141 0.1732
O2 O 0.0000 0.2500 0.1516
O3 O 0.1266 0.1083 0.0405
# ΔE_f (raw): -3.176 eV/atom
# Crystal system: tetragonal
# Size of the total moment: 0.00 μB/f.u.
# N(E_F): 0.000 states/eV per atom

***

# meta-GGA SCAN Sm2SO2, PBEsol geometry
data_Sm2SO2
_symmetry_space_group_name_H-M 'P -3 m 1'
_symmetry_Int_Tables_number 164
_symmetry_space_group_name_Hall '-P 3 2"'
_cell_length_a 3.8692
_cell_length_b 3.8692
_cell_length_c 6.6676
_cell_angle_alpha 90.00
_cell_angle_beta 90.00
_cell_angle_gamma 120.00
loop_
_atom_site_label
_atom_site_type_symbol
_atom_site_fract_x
_atom_site_fract_y
_atom_site_fract_z
Sm1 Sm 0.3333 0.6667 0.2807
S1 S 0.0000 0.0000 0.0000
O1 O 0.3333 0.6667 0.6296
# ΔE_f (raw): -3.471 eV/atom
# Crystal system: trigonal
# Size of the total moment: 0.00 μB/f.u.
# N(E_F): 0.000 states/eV per atom

***

# meta-GGA SCAN Sm2S2O, PBEsol geometry
data_Sm2S2O
_symmetry_space_group_name_H-M 'P 1 21/c 1'
_symmetry_Int_Tables_number 14
_symmetry_space_group_name_Hall '-P 2ybc'
_cell_length_a 8.3358
_cell_length_b 7.0173
_cell_length_c 6.9165
_cell_angle_alpha 90.00
_cell_angle_beta 99.06
_cell_angle_gamma 90.00
loop_
_atom_site_label
_atom_site_type_symbol
_atom_site_fract_x
_atom_site_fract_y
_atom_site_fract_z
Sm1 Sm 0.0794 0.1373 0.3152
Sm2 Sm 0.3633 0.5553 0.2492
S1 S 0.1781 0.6413 0.5655
S2 S 0.4218 0.2236 0.4713
O1 O 0.1173 0.0880 0.6493
# ΔE_f (raw): -2.919 eV/atom
# Crystal system: monoclinic
# Size of the total moment: 0.00 μB/f.u.
# N(E_F): 0.000 states/eV per atom

***

# meta-GGA SCAN Sm2Ta3S2O8, PBEsol geometry
data_Sm2Ta3S2O8
_symmetry_space_group_name_H-M 'P b a m'
_symmetry_Int_Tables_number 55
_symmetry_space_group_name_Hall '-P 2 2ab'
_cell_length_a 9.8194
_cell_length_b 11.4682
_cell_length_c 3.7523
_cell_angle_alpha 90.00
_cell_angle_beta 90.00
_cell_angle_gamma 90.00
loop_
_atom_site_label
_atom_site_type_symbol
_atom_site_fract_x
_atom_site_fract_y
_atom_site_fract_z
Sm1 Sm 0.2173 0.1550 0.0000
Ta1 Ta 0.0000 0.5000 0.5000
Ta2 Ta 0.1347 0.9154 0.5000
S1 S 0.0164 0.3514 0.0000
O1 O 0.0597 0.1075 0.5000
O2 O 0.1399 0.9538 0.0000
O3 O 0.1975 0.5254 0.5000
O4 O 0.2177 0.7707 0.5000
# ΔE_f (raw): -3.026 eV/atom
# Crystal system: orthorhombic
# Size of the total moment: 0.00 μB/f.u.
# N(E_F): 0.126 states/eV per atom

***

- Which value of size of the total moment does entry 7 give?
  0.00 μB/f.u.